An optimized crystal structure of Hf2CuAu. Source: the Alexandria database, functional PBE.

The structure belongs to space group P4/mmm (No. 123); the cell edges are 4.311, 4.311 and 3.935 Å and the angles 90.00°, 90.00° and 90.00°. The inequivalent atoms are Hf at (0.000, 0.500, 0.000), Cu at (0.000, 0.000, 0.500) and Au at (0.500, 0.500, 0.500).

Its total energy is -7.059 eV per atom. The mass density comes out at 14.02 g/cm³.